1.
## CaScBr2 (GGA-PBEsol)

Data for a geometry-optimized CaScBr2 structure.

a = 3.533 Å, b = 3.533 Å, c = 8.680 Å
α = 90.00°, β = 90.00°, γ = 90.00°
Element x y z (fractional)
Ca1 0.000 0.000 0.000
Sc1 0.500 0.500 0.314
Br1 0.000 0.000 0.467
Br2 0.500 0.500 0.818

Calculated values
mass density	3.75	g/cm3
space-group type	P4mm (99)
uncorrected formation energy	-1159	meV per atom
energy relative to the lowest polymorph listed for this composition	0.000	eV/atom
calculated volume	27.082	Å³/atom



2.
## CaSe4Br (GGA-PBEsol)

Data for a geometry-optimized CaSe4Br structure.

a = 5.730 Å, b = 5.730 Å, c = 5.730 Å
α = 60.00°, β = 60.00°, γ = 60.00°
Element x y z (fractional)
Ca1 0.000 0.000 0.000
Se1 0.375 0.375 0.375
Se2 0.375 0.375 0.875
Se3 0.375 0.875 0.375
Se4 0.875 0.375 0.375
Br1 0.750 0.750 0.750

Calculated values
mass density	5.44	g/cm3
space-group type	F-43m (216)
uncorrected formation energy	-383	meV per atom
calculated volume	22.171	Å³/atom



3.
## Ca3SeBr (GGA-PBEsol)

Data for a geometry-optimized Ca3SeBr structure.

a = 5.398 Å, b = 5.398 Å, c = 5.398 Å
α = 90.00°, β = 90.00°, γ = 90.00°
Element x y z (fractional)
Ca1 0.000 0.000 0.500
Ca2 0.000 0.500 0.000
Ca3 0.500 0.000 0.000
Se1 0.500 0.500 0.500
Br1 0.000 0.000 0.000

Calculated values
mass density	2.95	g/cm3
space-group type	Pm-3m (221)
uncorrected formation energy	-495	meV per atom
calculated volume	31.465	Å³/atom



4.
## CaSeBr (GGA-PBEsol)

Data for a geometry-optimized CaSeBr structure.

a = 4.912 Å, b = 4.912 Å, c = 4.912 Å
α = 60.00°, β = 60.00°, γ = 60.00°
Element x y z (fractional)
Ca1 0.000 0.000 0.000
Se1 0.250 0.250 0.250
Br1 0.750 0.750 0.750

Calculated values
mass density	3.94	g/cm3
space-group type	F-43m (216)
uncorrected formation energy	-1229	meV per atom
calculated volume	27.926	Å³/atom



5.
## CaSiSe2Br (GGA-PBEsol)

Data for a geometry-optimized CaSiSe2Br structure.

a = 4.909 Å, b = 4.909 Å, c = 5.007 Å
α = 90.00°, β = 90.00°, γ = 90.00°
Element x y z (fractional)
Ca1 0.000 0.000 0.000
Si1 0.500 0.500 0.500
Se1 0.000 0.500 0.500
Se2 0.500 0.000 0.500
Br1 0.500 0.500 0.000

Calculated values
mass density	4.21	g/cm3
space-group type	P4/mmm (123)
uncorrected formation energy	-722	meV per atom
energy relative to the lowest polymorph listed for this composition	0.000	eV/atom
calculated volume	24.132	Å³/atom



6.
## CaSiSe2Br (GGA-PBEsol)

Data for a geometry-optimized CaSiSe2Br structure.

a = 5.358 Å, b = 5.358 Å, c = 5.266 Å
α = 90.00°, β = 90.00°, γ = 90.00°
Element x y z (fractional)
Ca1 0.000 0.000 0.000
Si1 0.500 0.500 0.500
Se1 0.000 0.500 0.000
Se2 0.500 0.000 0.000
Br1 0.000 0.000 0.500

Calculated values
mass density	3.36	g/cm3
space-group type	P4/mmm (123)
uncorrected formation energy	112	meV per atom
energy relative to the lowest polymorph listed for this composition	0.834	eV/atom
calculated volume	30.237	Å³/atom



7.
## SrCaSeBr2 (GGA-PBEsol)

Data for a geometry-optimized SrCaSeBr2 structure.

a = 5.571 Å, b = 5.571 Å, c = 5.891 Å
α = 90.00°, β = 90.00°, γ = 90.00°
Element x y z (fractional)
Sr1 0.000 0.000 0.000
Ca1 0.500 0.500 0.500
Se1 0.000 0.000 0.500
Br1 0.000 0.500 0.000
Br2 0.500 0.000 0.000

Calculated values
mass density	3.33	g/cm3
space-group type	P4/mmm (123)
uncorrected formation energy	-1342	meV per atom
calculated volume	36.564	Å³/atom



8.
## CaTlSe2Br (GGA-PBEsol)

Data for a geometry-optimized CaTlSe2Br structure.

a = 5.296 Å, b = 5.296 Å, c = 5.473 Å
α = 90.00°, β = 90.00°, γ = 90.00°
Element x y z (fractional)
Ca1 0.000 0.000 0.000
Tl1 0.500 0.500 0.500
Se1 0.000 0.500 0.500
Se2 0.500 0.000 0.500
Br1 0.500 0.500 0.000

Calculated values
mass density	5.22	g/cm3
space-group type	P4/mmm (123)
uncorrected formation energy	-488	meV per atom
calculated volume	30.696	Å³/atom